The following is a DFT calculation (PBE-GGA) of crystalline TiSbN2 at its relaxed geometry.

Computed properties:
* crystal system: tetragonal
* uncorrected formation energy: -0.26 eV/atom
* density of states at the Fermi level: 3.57 states/eV/cell

Unit cell a=5.861 b=5.861 c=5.861 alpha=126.98 beta=126.98 gamma=78.29
Sites, in units of the cell vectors:
Ti: 0.000 0.000 0.000
Ti: 0.750 0.250 0.500
Sb: 0.250 0.750 0.500
Sb: 0.500 0.500 0.000
N: 0.043 0.625 0.918
N: 0.375 0.293 0.418
N: 0.707 0.125 0.082
N: 0.875 0.957 0.582